Here is a relaxed structure of HfPd2Rh2 from Alexandria. Energies are from PBE.

```
data_HfPd2Rh2
_symmetry_space_group_name_H-M 'P 4/m b m'
_symmetry_Int_Tables_number 127
_symmetry_space_group_name_Hall '-P 4 2ab'
_cell_length_a 6.691
_cell_length_b 6.691
_cell_length_c 3.725
_cell_angle_alpha 90.00
_cell_angle_beta 90.00
_cell_angle_gamma 90.00
loop_
_atom_site_label
_atom_site_fract_x
_atom_site_fract_y
_atom_site_fract_z
Hf1 0.000 0.000 0.000
Pd1 0.162 0.338 0.500
Rh1 0.136 0.636 0.000
```

Output
DFT total energy ... -7.28 eV/atom
DOS at the Fermi energy ... 3.37 states/eV/f.u.

=====

Here is a relaxed structure of Hf2Pd2Rh from Alexandria. Energies are from PBE.

```
data_Hf2Pd2Rh
_symmetry_space_group_name_H-M 'C m m m'
_symmetry_Int_Tables_number 65
_symmetry_space_group_name_Hall '-C 2 2'
_cell_length_a 3.547
_cell_length_b 15.706
_cell_length_c 3.226
_cell_angle_alpha 90.00
_cell_angle_beta 90.00
_cell_angle_gamma 90.00
loop_
_atom_site_label
_atom_site_fract_x
_atom_site_fract_y
_atom_site_fract_z
Hf1 0.000 0.103 0.000
Pd1 0.000 0.316 0.500
Rh1 0.000 0.500 0.500
```

Output
Polymorph energy (0 for the lowest one) ... 0.0000 eV/atom
DOS at the Fermi energy ... 2.85 states/eV/f.u.

=====

Here is a relaxed structure of Hf2Pd3Rh from Alexandria. Energies are from PBE.

```
data_Hf2Pd3Rh
_symmetry_space_group_name_H-M 'I b a m'
_symmetry_Int_Tables_number 72
_symmetry_space_group_name_Hall '-I 2 2c'
_cell_length_a 5.739
_cell_length_b 12.935
_cell_length_c 5.747
_cell_angle_alpha 90.00
_cell_angle_beta 90.00
_cell_angle_gamma 90.00
loop_
_atom_site_label
_atom_site_fract_x
_atom_site_fract_y
_atom_site_fract_z
Hf1 0.235 0.145 0.000
Pd1 0.000 0.500 0.250
Pd2 0.241 0.347 0.000
Rh1 0.000 0.000 0.250
```

Output
DFT total energy ... -7.77 eV/atom
DOS at the Fermi energy ... 3.06 states/eV/f.u.